A relaxed FeCuF2 crystal, computed with PBE with a Hubbard U.

The structure in POSCAR format:
```
FeCuF2
1.0
-1.352 1.567 -4.518
-2.034 -4.437 -0.931
-6.249 0.246 -0.778
F Cu Fe
4 2 2
Direct
0.875 0.808 0.750
0.192 0.625 0.250
0.375 0.442 0.750
0.558 0.125 0.250
0.750 0.250 0.500
0.000 0.000 0.000
0.250 0.750 0.500
0.500 0.500 0.000
```

Computed properties:
M_tot = 0.998 μB per atom
DFT total energy = -4.417 eV per atom
DOS at the Fermi energy = 0.11 states/eV per atom
energy above the lowest structure with this stoichiometry = 0.073 eV/atom